# FeTc2Os

A geometry-optimized FeTc2Os structure (GGA-PBE, Alexandria).

POSCAR file:
```
FeTc2Os
1.0
4.429 0.000 0.000
0.000 4.429 0.000
0.000 0.000 2.884
Fe Tc Os
1 2 1
direct
0.000 0.000 0.000
0.000 0.500 0.500
0.500 0.000 0.500
0.500 0.500 0.000
```

Values from the calculation:
crystal system	tetragonal
DFT total energy	-39.22	eV for the cell shown

=====

# Li5Cu3F14

A geometry-optimized Li5Cu3F14 structure (GGA-PBE, Alexandria).

POSCAR file:
```
Li5Cu3F14
1.0
6.990 0.000 0.000
0.000 6.990 0.000
0.000 0.000 9.691
Li Cu F
10 6 28
direct
0.000 0.000 0.000
0.230 0.270 0.250
0.230 0.270 0.750
0.270 0.770 0.250
0.270 0.770 0.750
0.500 0.500 0.500
0.730 0.230 0.250
0.730 0.230 0.750
0.770 0.730 0.250
0.770 0.730 0.750
0.000 0.000 0.500
0.000 0.500 0.000
0.000 0.500 0.500
0.500 0.000 0.000
0.500 0.000 0.500
0.500 0.500 0.000
0.000 0.000 0.308
0.000 0.000 0.692
0.036 0.699 0.137
0.036 0.699 0.863
0.109 0.248 0.500
0.199 0.536 0.363
0.199 0.536 0.637
0.248 0.891 0.500
0.252 0.391 0.000
0.301 0.036 0.137
0.301 0.036 0.863
0.391 0.748 0.000
0.464 0.199 0.363
0.464 0.199 0.637
0.500 0.500 0.192
0.500 0.500 0.808
0.536 0.801 0.363
0.536 0.801 0.637
0.609 0.252 0.000
0.699 0.964 0.137
0.699 0.964 0.863
0.748 0.609 0.000
0.752 0.109 0.500
0.801 0.464 0.363
0.801 0.464 0.637
0.891 0.752 0.500
0.964 0.301 0.137
0.964 0.301 0.863
```

Values from the calculation:
formation energy from raw total energies	-2.02	eV per atom
crystal system	tetragonal

=====

# CaEr2OsN4

A geometry-optimized CaEr2OsN4 structure (GGA-PBE, Alexandria).

POSCAR file:
```
CaEr2OsN4
1.0
1.709 -5.860 0.000
1.709 5.860 0.000
0.000 0.000 11.524
Ca Er Os N
2 4 2 8
direct
0.128 0.872 0.750
0.872 0.128 0.250
0.368 0.632 0.534
0.368 0.632 0.966
0.632 0.368 0.034
0.632 0.368 0.466
0.140 0.860 0.250
0.860 0.140 0.750
0.000 0.000 0.000
0.000 0.000 0.500
0.257 0.743 0.125
0.257 0.743 0.375
0.438 0.562 0.750
0.562 0.438 0.250
0.743 0.257 0.625
0.743 0.257 0.875
```

Values from the calculation:
formation energy from raw total energies	-0.88	eV per atom
crystal system	orthorhombic

=====

# Be2CuMo

A geometry-optimized Be2CuMo structure (GGA-PBE, Alexandria).

POSCAR file:
```
Be2CuMo
1.0
-1.260 2.080 4.286
1.260 -2.080 4.286
1.260 2.080 -4.286
Be Cu Mo
2 1 1
direct
0.000 0.000 0.000
0.780 0.280 0.500
0.231 0.731 0.500
0.512 0.512 0.000
```

Values from the calculation:
crystal system	orthorhombic
DFT total energy	-21.92	eV for the cell shown

=====

Calculated density, respectively: 12.97, 3.45, 8.93, 6.56 g/cm³.
V, respectively: 14.15, 10.76, 14.42, 11.24 Å³/atom.